Density functional theory data (PBEsol) for a relaxed structure of FeCu2P.

Cell: 2.689 3.617 4.767 Å, 90.00 90.00 90.00°
Last column: magnetic moment on the atom in μB.
Fractional coordinates of all 4 atoms:
Fe 0.500 0.500 0.000  2.34
Cu 0.000 0.000 0.752  0.06
Cu 0.000 0.000 0.248  0.06
P 0.500 0.500 0.500  0.00

Properties
Space group   Pmmm (47)
Raw total energy   -5.73 eV/atom
Calculated density   7662 kg/m3

Density functional theory data (PBEsol) for a relaxed structure of Fe2CuPSe.

Cell: 4.308 4.494 4.494 Å, 90.00 90.00 90.00°
Last column: magnetic moment on the atom in μB.
Fractional coordinates of all 5 atoms:
P 0.500 0.500 0.500  -0.04
Se 0.500 0.000 0.000  -0.01
Fe 0.000 0.000 0.500  2.96
Fe 0.000 0.500 0.000  2.96
Cu 0.000 0.000 0.000  0.06

Properties
Space group   P4/mmm (123)
Raw total energy   -5.14 eV/atom
Calculated density   5442 kg/m3

Density functional theory data (PBEsol) for a relaxed structure of Fe2CuPb.

Cell: 3.759 3.759 4.046 Å, 90.00 90.00 90.00°
Last column: magnetic moment on the atom in μB.
Fractional coordinates of all 4 atoms:
Cu 0.000 0.000 0.500  0.04
Pb 0.500 0.500 0.500  -0.06
Fe 0.000 0.500 0.000  2.51
Fe 0.500 0.000 0.000  2.51

Properties
Space group   P4/mmm (123)
Raw total energy   -6.13 eV/atom
Calculated density   11111 kg/m3

Density functional theory data (PBEsol) for a relaxed structure of FeCuPb.

Cell: 4.236 4.236 4.236 Å, 60.00 60.00 60.00°
Last column: magnetic moment on the atom in μB.
Fractional coordinates of all 3 atoms:
Cu 0.500 0.500 0.500  0.08
Fe 0.250 0.250 0.250  2.39
Pb 0.000 0.000 0.000  -0.07

Properties
Space group   F-43m (216)
Raw total energy   -5.14 eV/atom
Calculated density   10090 kg/m3

Density functional theory data (PBEsol) for a relaxed structure of Fe2CuPb.

Cell: 3.892 3.892 4.635 Å, 114.82 114.82 90.00°
Last column: magnetic moment on the atom in μB.
Fractional coordinates of all 4 atoms:
Fe 0.000 0.000 0.000  2.52
Fe 0.250 0.750 0.500  2.31
Pb 0.500 0.500 0.000  -0.05
Cu 0.750 0.250 0.500  0.05

Properties
Space group   I-4m2 (119)
Raw total energy   -6.11 eV/atom
Calculated density   11238 kg/m3

Density functional theory data (PBEsol) for a relaxed structure of FeCuPt.

Cell: 2.666 3.661 4.519 Å, 113.90 107.15 90.00°
Last column: magnetic moment on the atom in μB.
Fractional coordinates of all 3 atoms:
Fe 0.335 0.335 0.669  2.86
Pt 0.668 0.668 0.335  0.10
Cu 0.998 0.998 0.996  0.27

Properties
Excess energy over the best structure of this formula in the dataset   0.000 eV per atom
Space group   Imm2 (44)
Raw total energy   -6.86 eV/atom
Calculated density   13680 kg/m3